1.
The following is a DFT calculation (PBE) of Ge3N4 after structural relaxation.

a b c (Å): 8.1186 8.1186 3.1094
angles (deg): 90.00 90.00 120.00
Closest atoms and distances in Å follow each position.
Positions (direct):
Ge (0.1711, 0.7648, 0.2500)  4 N 1.85-1.86
Ge (0.2352, 0.4062, 0.2500)  4 N 1.85-1.86
Ge (0.4062, 0.1711, 0.7500)  4 N 1.85-1.86
Ge (0.5938, 0.8289, 0.2500)  4 N 1.85-1.86
Ge (0.7648, 0.5938, 0.7500)  4 N 1.85-1.86
Ge (0.8289, 0.2352, 0.7500)  4 N 1.85-1.86
N (0.0277, 0.6972, 0.7500)  3 Ge 1.85-1.86
N (0.3028, 0.3304, 0.7500)  3 Ge 1.85-1.86
N (0.3304, 0.0277, 0.2500)  3 Ge 1.85-1.86
N (0.3333, 0.6667, 0.2500)  3 Ge 1.85
N (0.6667, 0.3333, 0.7500)  3 Ge 1.85
N (0.6696, 0.9723, 0.7500)  3 Ge 1.85-1.86
N (0.6972, 0.6696, 0.2500)  3 Ge 1.85-1.86
N (0.9723, 0.3028, 0.2500)  3 Ge 1.85-1.86

Computed properties:
Calculated volume: 177.48 Å³/cell
SG: No. 176
ΔE_f (raw): -48 meV per atom


2.
The following is a DFT calculation (PBE) of MgBCl2 after structural relaxation.

a b c (Å): 3.7320 3.7320 23.4066
angles (deg): 90.00 90.00 120.00
Closest atoms and distances in Å follow each position.
Positions (direct):
Mg (0.0000, 0.0000, 0.0000)  2 Cl 2.40
Mg (0.3333, 0.6667, 0.6667)  2 Cl 2.40
Mg (0.6667, 0.3333, 0.3333)  2 Cl 2.40
B (0.0000, 0.0000, 0.5000)  6 Cl 2.62
B (0.3333, 0.6667, 0.1667)  6 Cl 2.62
B (0.6667, 0.3333, 0.8333)  6 Cl 2.62
Cl (0.0000, 0.0000, 0.1027)  1 Mg 2.40, 3 B 2.62
Cl (0.0000, 0.0000, 0.8973)  1 Mg 2.40, 3 B 2.62
Cl (0.3333, 0.6667, 0.5640)  1 Mg 2.40, 3 B 2.62
Cl (0.3333, 0.6667, 0.7693)  1 Mg 2.40, 3 B 2.62
Cl (0.6667, 0.3333, 0.2307)  1 Mg 2.40, 3 B 2.62
Cl (0.6667, 0.3333, 0.4360)  1 Mg 2.40, 3 B 2.62

Computed properties:
Calculated volume: 282.32 Å³/cell
SG: No. 166
ΔE_f (raw): 412 meV per atom


| no. | E above lowest polymorph (meV per atom) | magnetic moment (μB per cell) |
| --- | --- | --- |
| 1 | 2.7 | 0.0 |
| 2 | 442.7 | 0.0 |